This record from the Alexandria database describes In2CoGeO6 after structural relaxation. The functional is PBE+U.

V = 11.576 Å³/atom
Uncorrected energy = -0.4376 Ry per atom
SG = R3

```
In2CoGeO6
1.0
-2.3680 4.6241 1.2099
-2.9206 2.5411 -3.6696
-5.5840 0.0582 0.6077
Ge O In Co
1 6 2 1
Direct
0.3180 0.3180 0.0460 Ge
0.9641 0.5799 0.2491 O
0.4323 0.6829 0.7706 O
0.6829 0.1142 0.7706 O
0.1142 0.4323 0.7706 O
0.5799 0.2069 0.2491 O
0.2068 0.9641 0.2491 O
0.0258 0.0258 0.9225 In
0.5304 0.5304 0.4090 In
0.8071 0.8071 0.5786 Co
```